{"formula": "AcRh3", "functional": "PBE", "state": "optimized geometry", "spacegroup": "C2/m (12)", "formation_enthalpy_0k_ev_per_atom": -0.45, "cell": [[4.721, -2.712, 0.000], [4.721, 2.712, 0.000], [-3.103, 0.000, 9.040]], "species": ["Ac", "Ac", "Ac", "Rh", "Rh", "Rh", "Rh", "Rh", "Rh", "Rh", "Rh", "Rh"], "fractional_positions": [[0.000, 0.000, 0.000], [0.138, 0.138, 0.415], [0.862, 0.862, 0.585], [0.082, 0.579, 0.242], [0.329, 0.329, 0.997], [0.421, 0.918, 0.758], [0.422, 0.422, 0.761], [0.500, 0.500, 0.500], [0.578, 0.578, 0.239], [0.579, 0.082, 0.242], [0.671, 0.671, 0.003], [0.918, 0.421, 0.758]]}

***

{"formula": "Ac2NiSe", "functional": "PBE", "state": "optimized geometry", "spacegroup": "P4/mmm (123)", "raw_formation_energy_ev_per_atom": -0.80, "de_polymorph_ev_per_atom": 0.2016, "cell": [[3.768, 0.000, 0.000], [0.000, 3.768, 0.000], [0.000, 0.000, 7.720]], "species": ["Ac", "Ac", "Ni", "Se"], "fractional_positions": [[0.000, 0.000, 0.234], [0.000, 0.000, 0.766], [0.500, 0.500, 0.000], [0.500, 0.500, 0.500]]}

***

{"formula": "TbNpCN", "functional": "PBE", "state": "optimized geometry", "spacegroup": "R3m (160)", "raw_formation_energy_ev_per_atom": -0.73, "cell": [[1.755, 1.013, 5.742], [-1.755, 1.013, 5.742], [0.000, -2.027, 5.742]], "species": ["Tb", "Np", "C", "N"], "fractional_positions": [[0.000, 0.000, 0.000], [0.502, 0.502, 0.502], [0.760, 0.760, 0.760], [0.244, 0.244, 0.244]]}

***

{"formula": "Pm2Zn5Pd3", "functional": "PBE", "state": "optimized geometry", "spacegroup": "Ibam (72)", "formation_enthalpy_0k_ev_per_atom": -0.56, "cell": [[-5.116, 6.612, 2.795], [5.116, -6.612, 2.795], [5.116, 6.612, -2.795]], "species": ["Pm", "Pm", "Pm", "Pm", "Zn", "Zn", "Zn", "Zn", "Zn", "Zn", "Zn", "Zn", "Zn", "Zn", "Pd", "Pd", "Pd", "Pd", "Pd", "Pd"], "fractional_positions": [[0.145, 0.215, 0.361], [0.355, 0.715, 0.070], [0.645, 0.285, 0.930], [0.855, 0.785, 0.639], [0.055, 0.750, 0.305], [0.082, 0.680, 0.763], [0.250, 0.250, 0.000], [0.418, 0.180, 0.598], [0.445, 0.750, 0.695], [0.555, 0.250, 0.305], [0.582, 0.820, 0.402], [0.750, 0.750, 0.000], [0.918, 0.320, 0.237], [0.945, 0.250, 0.695], [0.155, 0.910, 0.065], [0.250, 0.750, 0.500], [0.345, 0.410, 0.755], [0.655, 0.590, 0.245], [0.750, 0.250, 0.500], [0.845, 0.090, 0.935]]}

***

What are the mass density values for these records? In order: 11.53; 8.97; 11.43; 8.22 g/cm3.